[1]
## BaTeRh3 (PBE-GGA)

Data for an optimized crystal structure of BaTeRh3.

a = 4.974 Å, b = 4.974 Å, c = 4.974 Å
α = 90.00°, β = 90.00°, γ = 90.00°
Element x y z (fractional)
Ba  0.000  0.000  0.000
Te  0.500  0.500  0.500
Rh  0.000  0.500  0.500
Rh  0.500  0.000  0.500
Rh  0.500  0.500  0.000

Uncorrected formation energy   38 kJ/mol of formula units
Symmetry   Pm-3m, No. 221
Relative energy among the computed polymorphs   0.0000 eV per atom
M_tot   0.000 μB per atom
Volume   24.61 Å³ per atom
E   -5.345 eV per atom
DOS(E_F)   6.662 states/eV/cell


[2]
## Ba2TlTeRh (PBE-GGA)

Data for an optimized crystal structure of Ba2TlTeRh.

a = 5.954 Å, b = 5.954 Å, c = 5.237 Å
α = 90.00°, β = 90.00°, γ = 90.00°
Element x y z (fractional)
Ba  0.000  0.500  0.000
Ba  0.500  0.000  0.000
Tl  0.000  0.000  0.500
Te  0.500  0.500  0.500
Rh  0.000  0.000  0.000

Uncorrected formation energy   -352 kJ/mol of formula units
Symmetry   P4/mmm, No. 123
M_tot   0.000 μB per atom
Volume   37.13 Å³ per atom
E   -4.071 eV per atom
DOS(E_F)   1.078 states/eV/cell


[3]
## Ba2ZnTeRh (PBE-GGA)

Data for an optimized crystal structure of Ba2ZnTeRh.

a = 5.951 Å, b = 5.951 Å, c = 4.842 Å
α = 90.00°, β = 90.00°, γ = 90.00°
Element x y z (fractional)
Ba  0.000  0.500  0.000
Ba  0.500  0.000  0.000
Zn  0.000  0.000  0.500
Te  0.500  0.500  0.500
Rh  0.000  0.000  0.000

Uncorrected formation energy   -355 kJ/mol of formula units
Symmetry   P4/mmm, No. 123
M_tot   0.000 μB per atom
Volume   34.29 Å³ per atom
E   -3.858 eV per atom
DOS(E_F)   1.002 states/eV/cell


[4]
## BaThRh4 (PBE-GGA)

Data for an optimized crystal structure of BaThRh4.

a = 5.492 Å, b = 5.492 Å, c = 5.492 Å
α = 60.00°, β = 60.00°, γ = 60.00°
Element x y z (fractional)
Ba  0.000  0.000  0.000
Th  0.250  0.250  0.250
Rh  0.126  0.625  0.625
Rh  0.625  0.126  0.625
Rh  0.625  0.625  0.126
Rh  0.625  0.625  0.625

Symmetry   F-43m, No. 216
M_tot   0.000 μB per atom
Volume   19.52 Å³ per atom
E   -6.883 eV per atom
Formation energy   -425 meV per atom
DOS(E_F)   3.227 states/eV/cell


[5]
## BaThRh2 (PBE-GGA)

Data for an optimized crystal structure of BaThRh2.

a = 3.612 Å, b = 3.612 Å, c = 7.767 Å
α = 90.00°, β = 90.00°, γ = 90.00°
Element x y z (fractional)
Ba  0.000  0.000  0.000
Th  0.000  0.000  0.500
Rh  0.500  0.500  0.310
Rh  0.500  0.500  0.690

Symmetry   P4/mmm, No. 123
M_tot   0.000 μB per atom
Volume   25.34 Å³ per atom
E   -6.574 eV per atom
Formation energy   -563 meV per atom
DOS(E_F)   2.922 states/eV/cell


[6]
## BaTiRh2 (PBE-GGA)

Data for an optimized crystal structure of BaTiRh2.

a = 7.426 Å, b = 7.426 Å, c = 6.723 Å
α = 90.00°, β = 90.00°, γ = 90.00°
Element x y z (fractional)
Ba  0.000  0.000  0.000
Ba  0.000  0.500  0.250
Ba  0.500  0.000  0.750
Ba  0.500  0.500  0.500
Ti  0.000  0.000  0.500
Ti  0.000  0.500  0.750
Ti  0.500  0.000  0.250
Ti  0.500  0.500  0.000
Rh  0.176  0.250  0.625
Rh  0.250  0.676  0.875
Rh  0.250  0.824  0.375
Rh  0.324  0.250  0.125
Rh  0.676  0.750  0.125
Rh  0.750  0.176  0.375
Rh  0.750  0.324  0.875
Rh  0.824  0.750  0.625

Symmetry   I-42d, No. 122
Relative energy among the computed polymorphs   0.0000 eV per atom
M_tot   0.000 μB per atom
Volume   23.17 Å³ per atom
E   -6.132 eV per atom
Formation energy   -2 meV per atom
DOS(E_F)   4.542 states/eV/cell